A plane-wave DFT calculation with PBE-GGA was carried out for a relaxed Cr3Ir2 crystal.

abc: 4.1576 4.1576 5.1240
angles: 90.00 90.00 120.00
Closest atoms and distances in Å follow each position.
Element x y z (fractional)
1 Cr 0.0000 0.0000 0.0000  6 Ir 2.53
2 Cr 0.3333 0.6667 0.3584  5 Ir 2.48-2.64
3 Cr 0.6667 0.3333 0.6416  5 Ir 2.48-2.64
4 Ir 0.3333 0.6667 0.8430  8 Cr 2.48-2.64
5 Ir 0.6667 0.3333 0.1570  8 Cr 2.48-2.64

Output
raw total energy	-8.95	eV per atom
V	76.7	Å³/f.u.
distance to the lowest polymorph of the same formula	385	meV per atom
DFT formation energy	8.4	kcal/mol of atoms

***

A plane-wave DFT calculation with PBE-GGA was carried out for a relaxed CeTmSnPt crystal.

abc: 5.1879 5.1879 5.1879
angles: 60.00 60.00 60.00
Closest atoms and distances in Å follow each position.
Element x y z (fractional)
1 Ce 0.0000 0.0000 0.0000  4 Sn 3.18, 4 Pt 3.18
2 Tm 0.5000 0.5000 0.5000  4 Sn 3.18, 4 Pt 3.18
3 Sn 0.7500 0.7500 0.7500  4 Tm 3.18, 4 Ce 3.18
4 Pt 0.2500 0.2500 0.2500  4 Ce 3.18, 4 Tm 3.18

Output
raw total energy	-5.86	eV per atom
V	98.7	Å³/f.u.
DFT formation energy	-17.1	kcal/mol of atoms

***

A plane-wave DFT calculation with PBE-GGA was carried out for a relaxed HgSb2Au3 crystal.

abc: 6.6467 6.6467 7.3672
angles: 90.00 90.00 67.09
Closest atoms and distances in Å follow each position.
Element x y z (fractional)
1 Hg 0.1204 0.8796 0.7500  3 Au 2.79-2.90
2 Hg 0.8796 0.1204 0.2500  3 Au 2.79-2.90
3 Sb 0.2979 0.2979 0.0000  6 Au 2.81-2.94
4 Sb 0.2979 0.2979 0.5000  6 Au 2.81-2.94
5 Sb 0.7021 0.7021 0.0000  6 Au 2.81-2.94
6 Sb 0.7021 0.7021 0.5000  6 Au 2.81-2.94
7 Au 0.0383 0.6468 0.2500  4 Sb 2.81-2.94, 1 Au 2.83, 1 Hg 2.90
8 Au 0.3532 0.9617 0.2500  4 Sb 2.81-2.94, 1 Au 2.83, 1 Hg 2.90
9 Au 0.4996 0.5004 0.2500  1 Hg 2.79, 2 Au 2.83, 4 Sb 2.90
10 Au 0.5004 0.4996 0.7500  1 Hg 2.79, 2 Au 2.83, 4 Sb 2.90
11 Au 0.6468 0.0383 0.7500  4 Sb 2.81-2.94, 1 Au 2.83, 1 Hg 2.90
12 Au 0.9617 0.3532 0.7500  4 Sb 2.81-2.94, 1 Au 2.83, 1 Hg 2.90

Output
ΔE_f (raw)	0.02	eV/atom
raw total energy	-3.04	eV per atom
V	149.9	Å³/f.u.

***

A plane-wave DFT calculation with PBE-GGA was carried out for a relaxed Y2Hf2Cr crystal.

abc: 6.7930 6.7930 5.2877
angles: 90.00 90.00 90.00
Closest atoms and distances in Å follow each position.
Element x y z (fractional)
1 Y 0.1683 0.3317 0.0000  6 Hf 3.15-3.43, 1 Y 3.23
2 Y 0.3317 0.8317 0.0000  6 Hf 3.15-3.43, 1 Y 3.23
3 Y 0.6683 0.1683 0.0000  6 Hf 3.15-3.43, 1 Y 3.23
4 Y 0.8317 0.6683 0.0000  6 Hf 3.15-3.43, 1 Y 3.23
5 Hf 0.1527 0.6527 0.5000  2 Cr 2.58
6 Hf 0.3473 0.1527 0.5000  2 Cr 2.58
7 Hf 0.6527 0.8473 0.5000  2 Cr 2.58
8 Hf 0.8473 0.3473 0.5000  2 Cr 2.58
9 Cr 0.0000 0.0000 0.5000  4 Hf 2.58
10 Cr 0.5000 0.5000 0.5000  4 Hf 2.58

Output
raw total energy	-8.12	eV per atom
V	122.0	Å³/f.u.
DFT formation energy	8.6	kcal/mol of atoms

***

V of number 3 (HgSb2Au3)? 149.9 Å³/f.u.

***

raw total energy of number 3 (HgSb2Au3)? -3.04 eV per atom

***

Which value of V does entry 1 give? 76.7 Å³/f.u.